Record 1
VASP calculation (SCAN) on a PBEsol-optimized structure of CrOs2.

Cell: 2.690 5.014 6.270 Å, 103.17 90.00 105.56°
Element x y z (fractional)
Cr1 0.000 0.999 0.002
Cr2 0.667 0.333 0.330
Os1 0.390 0.779 0.274
Os2 0.057 0.113 0.608
Os3 0.334 0.669 0.669
Os4 0.720 0.439 0.950

Output
**Total energy**: -54.022 eV/atom
**Spin magnetization**: 0.00 μB/cell
**DOS(E_F)**: 4.68 states/eV per cell

=====

Record 2
VASP calculation (SCAN) on a PBEsol-optimized structure of CrP2Os.

Cell: 2.877 4.057 4.193 Å, 90.00 90.00 90.00°
Element x y z (fractional)
Cr1 0.000 0.492 0.000
Os1 0.500 0.745 0.500
P1 0.500 0.018 0.000
P2 0.000 0.245 0.500

Output
**Polymorph energy (0 for the lowest one)**: 0 meV/atom
**Spin magnetization**: 0.00 μB/cell
**DOS(E_F)**: 1.69 states/eV per cell

=====

Record 3
VASP calculation (SCAN) on a PBEsol-optimized structure of Cr2POs2.

Cell: 3.710 3.710 5.939 Å, 108.20 108.20 90.00°
Element x y z (fractional)
Cr1 0.395 0.395 0.791
Cr2 0.605 0.605 0.209
Os1 0.250 0.750 0.500
Os2 0.750 0.250 0.500
P1 0.000 0.000 0.000

Output
**Total energy**: -37.528 eV/atom
**Spin magnetization**: 0.00 μB/cell
**DOS(E_F)**: 2.58 states/eV per cell

=====

Record 4
VASP calculation (SCAN) on a PBEsol-optimized structure of CrPOs2.

Cell: 4.191 4.191 4.191 Å, 60.00 60.00 60.00°
Element x y z (fractional)
Cr1 0.500 0.500 0.500
Os1 0.000 0.000 0.000
Os2 0.750 0.750 0.750
P1 0.250 0.250 0.250

Output
**Total energy**: -42.718 eV/atom
**Spin magnetization**: 0.00 μB/cell
**DOS(E_F)**: 2.71 states/eV per cell

=====

Record 5
VASP calculation (SCAN) on a PBEsol-optimized structure of CrPOs.

Cell: 2.807 2.807 4.958 Å, 106.44 106.44 90.00°
Element x y z (fractional)
Cr1 0.018 0.018 0.035
Os1 0.325 0.325 0.650
P1 0.657 0.657 0.315

Output
**Total energy**: -33.644 eV/atom
**Spin magnetization**: 0.00 μB/cell
**DOS(E_F)**: 2.08 states/eV per cell

=====

Record 6
VASP calculation (SCAN) on a PBEsol-optimized structure of CrP2Os.

Cell: 2.870 2.870 7.362 Å, 78.76 78.76 60.00°
Element x y z (fractional)
Cr1 0.491 0.491 0.527
Os1 0.256 0.256 0.232
P1 0.000 0.000 0.999
P2 0.753 0.753 0.742

Output
**Polymorph energy (0 for the lowest one)**: 275 meV/atom
**Spin magnetization**: 0.00 μB/cell
**DOS(E_F)**: 2.96 states/eV per cell

=====

Record 7
VASP calculation (SCAN) on a PBEsol-optimized structure of CrPOs2.

Cell: 2.822 2.822 6.331 Å, 90.00 90.00 90.00°
Element x y z (fractional)
Cr1 0.500 0.500 0.500
Os1 0.000 0.000 0.771
Os2 0.000 0.000 0.229
P1 0.500 0.500 0.000

Output
**Total energy**: -43.105 eV/atom
**Spin magnetization**: 0.00 μB/cell
**DOS(E_F)**: 2.21 states/eV per cell

=====

Record 8
VASP calculation (SCAN) on a PBEsol-optimized structure of CrP2Os.

Cell: 2.830 2.827 7.409 Å, 90.00 90.00 120.03°
Element x y z (fractional)
Cr1 0.500 0.000 0.500
Os1 0.500 0.000 0.000
P1 0.000 0.000 0.737
P2 0.000 0.000 0.263

Output
**Polymorph energy (0 for the lowest one)**: 536 meV/atom
**Spin magnetization**: 1.42 μB/cell
**DOS(E_F)**: 2.58 states/eV per cell

=====

Record 9
VASP calculation (SCAN) on a PBEsol-optimized structure of CrPOs.

Cell: 2.729 3.996 3.996 Å, 120.00 90.00 90.00°
Element x y z (fractional)
Cr1 0.500 0.000 0.000
Os1 0.000 0.667 0.333
P1 0.000 0.333 0.667

Output
**Total energy**: -33.688 eV/atom
**Spin magnetization**: 1.42 μB/cell
**DOS(E_F)**: 1.96 states/eV per cell

=====

Record 10
VASP calculation (SCAN) on a PBEsol-optimized structure of CrPOs.

Cell: 2.737 2.737 5.948 Å, 97.15 97.15 117.33°
Element x y z (fractional)
Cr1 0.987 0.987 0.975
Os1 0.674 0.674 0.348
P1 0.338 0.338 0.677

Output
**Total energy**: -33.194 eV/atom
**Spin magnetization**: 2.15 μB/cell
**DOS(E_F)**: 2.71 states/eV per cell

=====

Record 11
VASP calculation (SCAN) on a PBEsol-optimized structure of CrOs2Pb.

Cell: 2.859 2.859 9.132 Å, 80.99 80.99 60.00°
Element x y z (fractional)
Cr1 0.000 0.000 0.000
Os1 0.263 0.263 0.211
Os2 0.737 0.737 0.789
Pb1 0.500 0.500 0.500

Output
**Total energy**: -58.765 eV/atom
**Spin magnetization**: 0.95 μB/cell
**DOS(E_F)**: 2.56 states/eV per cell

=====

Record 12
VASP calculation (SCAN) on a PBEsol-optimized structure of CrOs2Pb.

Cell: 2.855 2.855 9.031 Å, 80.90 80.90 60.00°
Element x y z (fractional)
Cr1 0.257 0.257 0.229
Os1 0.998 0.998 0.007
Os2 0.743 0.743 0.772
Pb1 0.503 0.503 0.492

Output
**Total energy**: -58.588 eV/atom
**Spin magnetization**: 0.00 μB/cell
**DOS(E_F)**: 4.23 states/eV per cell